La2ZnRh | GGA-PBE | optimized geometry

Unit cell a=3.6966 b=3.6966 c=7.2504 alpha=90.00 beta=90.00 gamma=90.00
Fractional coordinates of all 4 atoms:
La 0.0000 0.0000 0.2340
La 0.0000 0.0000 0.7660
Zn 0.5000 0.5000 0.5000
Rh 0.5000 0.5000 0.0000

Values from the calculation:
The space group is P4/mmm (123). For the electronic total energy, the calculation gives -5.121 eV per atom.

PrAlZn2Pd2 | GGA-PBE | optimized geometry

Unit cell a=4.6225 b=4.6225 c=5.7796 alpha=90.00 beta=90.00 gamma=90.00
Fractional coordinates of all 6 atoms:
Pr 0.0000 0.0000 0.0000
Al 0.0000 0.0000 0.5000
Zn 0.5000 0.5000 0.2404
Zn 0.5000 0.5000 0.7596
Pd 0.0000 0.5000 0.5000
Pd 0.5000 0.0000 0.5000

Values from the calculation:
The space group is P4/mmm (123). For the electronic total energy, the calculation gives -3.910 eV per atom.

PrSmHg6 | GGA-PBE | optimized geometry

Unit cell a=5.0650 b=6.7902 c=6.7902 alpha=60.28 beta=90.00 gamma=90.00
Fractional coordinates of all 8 atoms:
Pr 0.0000 0.0000 0.0000
Sm 0.5000 0.6716 0.6716
Hg 0.0000 0.0071 0.4976
Hg 0.0000 0.4976 0.0071
Hg 0.0000 0.5025 0.5025
Hg 0.5000 0.1723 0.1723
Hg 0.5000 0.1770 0.6581
Hg 0.5000 0.6581 0.1770

Values from the calculation:
The space group is Amm2 (38). For the electronic total energy, the calculation gives -1.801 eV per atom.

CaGd2Al | GGA-PBE | optimized geometry

Unit cell a=4.8868 b=4.8868 c=4.7588 alpha=90.00 beta=90.00 gamma=90.00
Fractional coordinates of all 4 atoms:
Ca 0.0000 0.0000 0.0000
Gd 0.0000 0.5000 0.5000
Gd 0.5000 0.0000 0.5000
Al 0.5000 0.5000 0.0000

Values from the calculation:
The space group is P4/mmm (123). For the electronic total energy, the calculation gives -8.589 eV per atom. For the energy above the most stable polymorph in this dataset, the calculation gives 0.139 eV per formula unit.

LiCo2Si2 | GGA-PBE | optimized geometry

Unit cell a=5.6842 b=5.6842 c=5.6842 alpha=143.21 beta=143.21 gamma=53.01
Fractional coordinates of all 5 atoms:
Li 0.0000 0.0000 0.0000
Co 0.3874 0.3874 0.0000
Co 0.6126 0.6126 0.0000
Si 0.2500 0.7500 0.5000
Si 0.7500 0.2500 0.5000

Values from the calculation:
The space group is I4/mmm (139). For the electronic total energy, the calculation gives -5.626 eV per atom.

Pr7HoTm12 | GGA-PBE | optimized geometry

Unit cell a=8.7601 b=8.7601 c=8.7601 alpha=85.90 beta=85.90 gamma=85.90
Fractional coordinates of all 20 atoms:
Pr 0.0000 0.0000 0.0000
Pr 0.1019 0.3426 0.4198
Pr 0.3426 0.4198 0.1019
Pr 0.4198 0.1019 0.3426
Pr 0.5802 0.8981 0.6574
Pr 0.6574 0.5802 0.8981
Pr 0.8981 0.6574 0.5802
Ho 0.5000 0.5000 0.5000
Tm 0.0026 0.3637 0.8837
Tm 0.1163 0.9974 0.6363
Tm 0.2277 0.7533 0.3568
Tm 0.2467 0.6432 0.7723
Tm 0.3568 0.2277 0.7533
Tm 0.3637 0.8837 0.0026
Tm 0.6363 0.1163 0.9974
Tm 0.6432 0.7723 0.2467
Tm 0.7533 0.3568 0.2277
Tm 0.7723 0.2467 0.6432
Tm 0.8837 0.0026 0.3637
Tm 0.9974 0.6363 0.1163

Values from the calculation:
The space group is R-3 (148). For the electronic total energy, the calculation gives -4.357 eV per atom. For the energy above the most stable polymorph in this dataset, the calculation gives 0.000 eV per formula unit.

La2Dy3ScSe6 | GGA-PBE | optimized geometry

Unit cell a=9.2230 b=9.2230 c=8.3224 alpha=103.22 beta=103.22 gamma=25.72
Fractional coordinates of all 12 atoms:
La 0.1658 0.1658 0.3332
La 0.8342 0.8342 0.6668
Dy 0.1713 0.1713 0.8356
Dy 0.5000 0.5000 0.5000
Dy 0.8287 0.8287 0.1644
Sc 0.5000 0.5000 0.0000
Se 0.0062 0.0062 0.7621
Se 0.3377 0.3377 0.4058
Se 0.3393 0.3393 0.9320
Se 0.6607 0.6607 0.0680
Se 0.6623 0.6623 0.5942
Se 0.9938 0.9938 0.2379

Values from the calculation:
The space group is C2/m (12). For the electronic total energy, the calculation gives -6.026 eV per atom.

SmY3Th2P6 | GGA-PBE | optimized geometry

Unit cell a=7.0721 b=7.0721 c=7.0322 alpha=99.62 beta=99.62 gamma=120.05
Fractional coordinates of all 12 atoms:
Sm 0.0000 0.0000 0.0000
Y 0.1662 0.8338 0.5000
Y 0.5000 0.5000 0.5000
Y 0.8338 0.1662 0.5000
Th 0.3333 0.6667 0.0000
Th 0.6667 0.3333 0.0000
P 0.0851 0.4190 0.2553
P 0.2486 0.2486 0.7440
P 0.4190 0.0851 0.2553
P 0.5810 0.9149 0.7447
P 0.7514 0.7514 0.2560
P 0.9149 0.5810 0.7447

Values from the calculation:
The space group is C2/m (12). For the electronic total energy, the calculation gives -7.563 eV per atom.